# PmEr2Sn (PBE, relaxed)
data_PmEr2Sn
_chemical_formula_sum 'Pm1 Er2 Sn1'
_cell_length_a 3.749
_cell_length_b 3.749
_cell_length_c 8.448
_cell_angle_alpha 90.00
_cell_angle_beta 90.00
_cell_angle_gamma 90.00
_symmetry_space_group_name_H-M 'P 4/m m m'
_symmetry_Int_Tables_number 123
_symmetry_space_group_name_Hall '-P 4 2'
loop_
_atom_site_label
_atom_site_type_symbol
_atom_site_fract_x
_atom_site_fract_y
_atom_site_fract_z
_atom_site_occupancy
Pm1 Pm 0.000 0.000 0.000 1
Er1 Er 0.500 0.500 0.284 1
Sn1 Sn 0.000 0.000 0.500 1
# Crystal system: tetragonal
# D(E_F) (states/eV per cell): 5.62
# Energy of formation (meV per atom): -297
# Energy above the lowest structure with this stoichiometry (eV per atom): 0.122
# Volume (Å³ per cell): 118.7

# Na3GaNi (PBE, relaxed)
data_Na3GaNi
_chemical_formula_sum 'Na3 Ga1 Ni1'
_cell_length_a 5.258
_cell_length_b 5.258
_cell_length_c 5.258
_cell_angle_alpha 90.00
_cell_angle_beta 90.00
_cell_angle_gamma 90.00
_symmetry_space_group_name_H-M 'P m -3 m'
_symmetry_Int_Tables_number 221
_symmetry_space_group_name_Hall '-P 4 2 3'
loop_
_atom_site_label
_atom_site_type_symbol
_atom_site_fract_x
_atom_site_fract_y
_atom_site_fract_z
_atom_site_occupancy
Na1 Na 0.000 0.000 0.500 1
Ga1 Ga 0.500 0.500 0.500 1
Ni1 Ni 0.000 0.000 0.000 1
# Crystal system: cubic
# D(E_F) (states/eV per cell): 4.23
# Energy of formation (meV per atom): 565
# Energy above the lowest structure with this stoichiometry (eV per atom): 0.000
# Volume (Å³ per cell): 145.3

# AcCdP2Pt7 (PBE, relaxed)
data_AcCdP2Pt7
_chemical_formula_sum 'Ac2 Cd2 P4 Pt14'
_cell_length_a 4.116
_cell_length_b 4.116
_cell_length_c 29.814
_cell_angle_alpha 90.00
_cell_angle_beta 90.00
_cell_angle_gamma 90.00
_symmetry_space_group_name_H-M 'I -4 m 2'
_symmetry_Int_Tables_number 119
_symmetry_space_group_name_Hall 'I -4 -2'
loop_
_atom_site_label
_atom_site_type_symbol
_atom_site_fract_x
_atom_site_fract_y
_atom_site_fract_z
_atom_site_occupancy
Ac1 Ac 0.000 0.000 0.000 1
Cd1 Cd 0.000 0.500 0.250 1
P1 P 0.000 0.000 0.379 1
Pt1 Pt 0.000 0.000 0.307 1
Pt2 Pt 0.000 0.000 0.500 1
Pt3 Pt 0.000 0.500 0.081 1
Pt4 Pt 0.000 0.500 0.581 1
# Crystal system: tetragonal
# D(E_F) (states/eV per cell): 5.94
# Energy of formation (meV per atom): -248
# Volume (Å³ per cell): 505.0

# MnTcCl (PBE, relaxed)
data_MnTcCl
_chemical_formula_sum 'Mn2 Tc2 Cl2'
_cell_length_a 2.838
_cell_length_b 2.838
_cell_length_c 10.383
_cell_angle_alpha 90.00
_cell_angle_beta 90.00
_cell_angle_gamma 90.00
_symmetry_space_group_name_H-M 'I 4 m m'
_symmetry_Int_Tables_number 107
_symmetry_space_group_name_Hall 'I 4 -2'
loop_
_atom_site_label
_atom_site_type_symbol
_atom_site_fract_x
_atom_site_fract_y
_atom_site_fract_z
_atom_site_occupancy
Mn1 Mn 0.000 0.000 0.000 1
Tc1 Tc 0.000 0.000 0.641 1
Cl1 Cl 0.000 0.000 0.328 1
# Formation energy without anion corrections (meV/atom): 374
# Crystal system: tetragonal
# D(E_F) (states/eV per cell): 3.37
# Energy above the lowest structure with this stoichiometry (eV per atom): 0.204
# Volume (Å³ per cell): 83.6

| no. | uncorrected energy (eV/atom) |
| --- | --- |
| 1 | -4.767 |
| 2 | -1.988 |
| 3 | -5.533 |
| 4 | -6.754 |